Density functional theory data (PBE) for crystalline PrEr2ScTe6 at its relaxed geometry.

Lattice parameters (Å, degrees): 8.2525 8.2525 8.2525 55.23 55.23 55.23
Fractional positions:
Pr1 0.0000 0.0000 0.0000
Er1 0.1864 0.1864 0.1864
Er2 0.6906 0.6906 0.6906
Sc1 0.5052 0.5052 0.5052
Te1 0.1079 0.4186 0.7692
Te2 0.2989 0.9036 0.5791
Te3 0.4186 0.7692 0.1079
Te4 0.5791 0.2989 0.9036
Te5 0.7692 0.1079 0.4186
Te6 0.9036 0.5791 0.2989

Values from the calculation:
Its energy is -52.11 eV for the cell shown. The theoretical density is 6.04 Mg/m³.

Density functional theory data (PBE) for crystalline La8Y3Tm2 at its relaxed geometry.

Lattice parameters (Å, degrees): 10.9631 10.9631 5.8505 90.02 90.02 41.52
Fractional positions:
La1 0.0931 0.6938 0.9993
La2 0.1757 0.1757 0.5010
La3 0.3062 0.9069 0.0007
La4 0.3680 0.3680 0.4998
La5 0.6320 0.6320 0.5002
La6 0.6938 0.0931 0.9993
La7 0.8243 0.8243 0.4990
La8 0.9069 0.3062 0.0007
Y1 0.2168 0.7832 0.5000
Y2 0.5000 0.5000 0.0000
Y3 0.7832 0.2168 0.5000
Tm1 0.2605 0.2605 0.0009
Tm2 0.7395 0.7395 0.9991

Values from the calculation:
The theoretical density is 6.11 Mg/m³. The excess energy over the best structure of this formula in the dataset comes out at 27 meV per atom. The energy relative to the elements is 0.180 eV per atom. The density of states at the Fermi level comes out at 16.9 states/eV per cell.

Density functional theory data (PBE) for crystalline SrCl at its relaxed geometry.

Lattice parameters (Å, degrees): 7.1983 7.1983 7.9103 115.57 115.57 32.47
Fractional positions:
Sr1 0.0000 0.0000 0.0000
Sr2 0.3213 0.3213 0.2742
Sr3 0.6426 0.6426 0.5510
Cl1 0.3210 0.3210 0.7773
Cl2 0.6662 0.6662 0.9671
Cl3 0.9752 0.9752 0.5828

Values from the calculation:
Its energy is -20.74 eV for the cell shown. The theoretical density is 3.12 Mg/m³. The density of states at the Fermi level comes out at 2.8 states/eV per cell.

Density functional theory data (PBE) for crystalline Na4CdP2 at its relaxed geometry.

Lattice parameters (Å, degrees): 9.0713 9.0713 9.0713 32.16 32.16 32.16
Fractional positions:
Na1 0.0931 0.0931 0.0931
Na2 0.2932 0.2932 0.2932
Na3 0.7068 0.7068 0.7068
Na4 0.9069 0.9069 0.9069
Cd1 0.5000 0.5000 0.5000
P1 0.4061 0.4061 0.4061
P2 0.5939 0.5939 0.5939

Values from the calculation:
The theoretical density is 2.35 Mg/m³. The energy relative to the elements is -0.341 eV per atom.